(1)
Ti2FeIrPt, relaxed, DFT PBE-GGA; calculated formation energy = 0.2670 eV per atom; raw total energy = -7.564 eV per atom; space group = P4/mmm
1.0
-1.670 3.346 -2.210
-4.058 -1.073 1.441
0.553 2.563 3.463
Pt Fe Ti Ir
1 1 2 1
Direct
0.500 0.500 0.500 Pt
0.000 0.000 0.000 Fe
0.000 0.000 0.500 Ti
0.500 0.000 0.000 Ti
0.000 0.500 0.000 Ir

(2)
MgZrAu2, relaxed, DFT PBE-GGA; calculated formation energy = -0.1814 eV per atom; raw total energy = -4.356 eV per atom; space group = R3m
1.0
-5.488 -7.716 1.137
-3.966 -7.742 3.909
-6.551 -5.958 3.541
Mg Zr Au
1 1 2
Direct
0.508 0.508 0.508 Mg
0.746 0.746 0.746 Zr
0.998 0.998 0.998 Au
0.249 0.249 0.249 Au

(3)
AlReAu, relaxed, DFT PBE-GGA; calculated formation energy = 0.1628 eV per atom; raw total energy = -6.327 eV per atom; space group = Fmm2
1.0
6.911 0.003 -0.002
6.190 2.668 0.027
0.720 -0.704 2.571
Al Au Re
1 1 1
Direct
0.004 0.004 0.996 Al
0.342 0.342 0.658 Au
0.654 0.654 0.346 Re

(4)
TaMnRh2, relaxed, DFT PBE-GGA; calculated formation energy = -0.1251 eV per atom; raw total energy = -9.056 eV per atom; space group = F-43m
1.0
-0.573 -2.482 -3.563
3.474 -1.474 -2.223
1.024 -4.257 0.109
Ta Mn Rh
1 1 2
Direct
0.750 0.750 0.750 Ta
0.500 0.500 0.500 Mn
0.000 0.000 0.000 Rh
0.250 0.250 0.250 Rh

(5)
AcPr2NdP4, relaxed, DFT PBE-GGA; calculated formation energy = -1.4896 eV per atom; raw total energy = -6.499 eV per atom; space group = P2/m
1.0
-0.880 -2.690 3.183
7.215 -0.830 1.294
2.208 5.062 4.890
P Ac Pr Nd
4 1 2 1
Direct
0.500 0.753 0.255 P
0.000 0.243 0.259 P
0.500 0.247 0.745 P
0.000 0.757 0.741 P
0.500 0.500 0.000 Ac
0.000 0.000 0.000 Pr
0.500 0.000 0.500 Pr
0.000 0.500 0.500 Nd

(6)
MgMnZn2, relaxed, DFT PBE-GGA; calculated formation energy = 0.0739 eV per atom; raw total energy = -3.254 eV per atom; space group = Imm2
1.0
5.256 -0.017 -0.020
2.441 4.654 0.020
-3.380 -3.096 2.571
Zn Mn Mg
2 1 1
Direct
0.766 0.266 0.500 Zn
0.999 0.999 0.000 Zn
0.235 0.735 0.500 Mn
0.500 0.500 0.000 Mg

(7)
Y2BeAgH, relaxed, DFT PBE-GGA; raw total energy = -4.736 eV per atom; space group = P4/mmm
1.0
5.031 0.000 0.000
0.000 5.031 0.000
0.000 0.000 3.545
H Ag Y Be
1 1 2 1
Direct
0.000 0.000 0.000 H
0.500 0.500 0.500 Ag
0.000 0.500 0.000 Y
0.500 0.000 0.000 Y
0.000 0.000 0.500 Be

(8)
Zn3SiBi, relaxed, DFT PBE-GGA; raw total energy = -2.236 eV per atom; space group = Pm-3m; formation energy (no corrections) = 0.389 eV/atom
1.0
-3.261 1.998 2.910
-3.458 -1.010 -3.181
-0.711 -4.252 2.123
Bi Zn Si
1 3 1
Direct
0.500 0.500 0.500 Bi
0.500 0.000 0.000 Zn
0.000 0.500 0.000 Zn
0.000 0.000 0.500 Zn
0.000 0.000 0.000 Si